i) VASP calculation (PBE) on a relaxed structure of Ac3PmTl.

```
data_Ac3PmTl
_chemical_formula_sum 'Ac6 Pm2 Tl2'
_space_group_name_H-M_alt 'P 1'
_space_group_IT_number 1
_space_group_name_Hall 'P 1'
_cell_length_a 3.969
_cell_length_b 10.365
_cell_length_c 12.378
_cell_angle_alpha 90.00
_cell_angle_beta 90.00
_cell_angle_gamma 125.16
loop_
_atom_site_label
_atom_site_type_symbol
_atom_site_fract_x
_atom_site_fract_y
_atom_site_fract_z
_atom_site_occupancy
Tl1 Tl 0.610 0.738 0.250 1
Ac1 Ac 0.608 0.405 0.250 1
Ac2 Ac 0.392 0.595 0.750 1
Pm1 Pm 0.557 0.035 0.250 1
Pm2 Pm 0.443 0.965 0.750 1
Ac3 Ac 0.086 0.722 0.486 1
Ac4 Ac 0.086 0.722 0.014 1
Ac5 Ac 0.914 0.278 0.514 1
Tl2 Tl 0.390 0.262 0.750 1
Ac6 Ac 0.914 0.278 0.986 1
```

Values from the calculation:
The mass density is 8.2 g/cm3.

ii) VASP calculation (PBE) on a relaxed structure of Ac3PmTl.

```
data_Ac3PmTl
_chemical_formula_sum 'Ac6 Pm2 Tl2'
_space_group_name_H-M_alt 'P 1'
_space_group_IT_number 1
_space_group_name_Hall 'P 1'
_cell_length_a 5.261
_cell_length_b 5.262
_cell_length_c 13.876
_cell_angle_alpha 90.00
_cell_angle_beta 79.07
_cell_angle_gamma 90.00
loop_
_atom_site_label
_atom_site_type_symbol
_atom_site_fract_x
_atom_site_fract_y
_atom_site_fract_z
_atom_site_occupancy
Tl1 Tl 0.978 0.250 0.693 1
Ac1 Ac 0.267 0.750 0.115 1
Ac2 Ac 0.770 0.250 0.109 1
Tl2 Tl 0.671 0.750 0.307 1
Ac3 Ac 0.075 0.750 0.499 1
Pm1 Pm 0.477 0.750 0.695 1
Ac4 Ac 0.382 0.250 0.885 1
Ac5 Ac 0.879 0.750 0.891 1
Pm2 Pm 0.171 0.250 0.305 1
Ac6 Ac 0.574 0.250 0.501 1
```

Values from the calculation:
The mass density is 9.1 g/cm3.

It is ii) that is most stable; the runner-up trails by 9.8 kJ/mol of atoms.